This record from Alexandria via LeMat-Bulk describes crystalline KZn2Fe at its relaxed geometry. The functional is GGA-PBEsol.

Computed properties:
crystal system = cubic
DFT formation energy = 0.813 eV per atom
space group = Fm-3m (225)
final energy = -2.50 eV/atom

a = 4.7734 Å, b = 4.7734 Å, c = 4.7734 Å
α = 60.00°, β = 60.00°, γ = 60.00°
With the nearest neighbours (Å) after each atom.
Atoms (fractional coordinates):
K1 0.0000 0.0000 0.0000  8 Zn 2.92
Zn1 0.2500 0.2500 0.2500  4 Fe 2.92, 4 K 2.92
Zn2 0.7500 0.7500 0.7500  4 Fe 2.92, 4 K 2.92
Fe1 0.5000 0.5000 0.5000  8 Zn 2.92